(1)
SrZn2Ag after structural relaxation, computed with GGA-PBEsol.

Lattice parameters (Å, degrees): 5.9418 5.9418 5.9418 43.77 43.77 43.77
Closest atoms and distances in Å follow each position.
Sites, in units of the cell vectors:
Sr1 0.0000 0.0000 0.0000  4 Zn 3.16-3.38, 4 Ag 3.16-3.38
Zn1 0.1961 0.1961 0.1961  3 Zn 2.59, 3 Ag 2.73
Zn2 0.5052 0.5052 0.5052  3 Zn 2.59, 3 Ag 2.62
Ag1 0.8037 0.8037 0.8037  6 Zn 2.62-2.73

Properties
calculated formation energy = -0.196 eV/atom
magnetic moment = 0.0 μB per formula unit
crystal system = trigonal

***

(2)
IrPdN2 after structural relaxation, computed with GGA-PBEsol.

Lattice parameters (Å, degrees): 6.4373 6.4373 6.4373 25.91 25.91 25.91
Closest atoms and distances in Å follow each position.
Sites, in units of the cell vectors:
Ir1 0.0000 0.0000 0.0000  2 N 1.91
Pd1 0.5000 0.5000 0.5000  6 N 2.05
N1 0.1022 0.1022 0.1022  1 Ir 1.91, 3 Pd 2.05
N2 0.8978 0.8978 0.8978  1 Ir 1.91, 3 Pd 2.05

Properties
formation energy (no corrections) = 0.67 eV/atom
magnetic moment = 0.0 μB per formula unit
crystal system = trigonal